(1)
4
Lattice="-1.492 2.733 5.233 1.492 -2.733 5.233 1.492 2.733 -5.233" Properties=species:S:1:pos:R:3 comment="BaLi2W (PBE, relaxed)" e_tot_ev_per_atom=-3.6841 de_polymorph_mev_per_atom=173 space_group=Imm2 ef_mev_per_atom=992 total_magnetization_mub_per_fu=0.00 pbc="T T T"
Ba 0.000 0.000 0.000
Li 0.000 0.000 5.316
Li 0.000 2.733 2.371
W 1.492 0.000 2.905

---

(2)
4
Lattice="2.899 0.000 0.000 0.000 4.644 0.000 -1.438 0.000 6.996" Properties=species:S:1:pos:R:3 comment="BaLi2W (PBE, relaxed)" e_tot_ev_per_atom=-3.7423 de_polymorph_mev_per_atom=115 space_group=Pm ef_mev_per_atom=934 total_magnetization_mub_per_fu=0.03 pbc="T T T"
Ba 0.000 0.000 0.000
Li 1.456 2.322 2.426
Li 1.463 0.000 3.820
W 0.011 2.322 4.883

---

(3)
5
Lattice="4.611 0.000 0.000 0.000 4.611 0.000 0.000 0.000 4.611" Properties=species:S:1:pos:R:3 comment="BaLiW3 (PBE, relaxed)" e_tot_ev_per_atom=-6.3520 de_polymorph_mev_per_atom=0 space_group=Pm-3m ef_mev_per_atom=2187 total_magnetization_mub_per_fu=0.00 pbc="T T T"
Ba 0.000 0.000 0.000
Li 2.306 2.306 2.306
W 0.000 2.306 2.306
W 2.306 0.000 2.306
W 2.306 2.306 0.000

---

(4)
4
Lattice="2.702 -5.718 0.000 2.702 5.718 0.000 -1.492 0.000 2.649" Properties=species:S:1:pos:R:3 comment="BaLiW2 (PBE, relaxed)" e_tot_ev_per_atom=-6.2730 de_polymorph_mev_per_atom=471 space_group=C2/m ef_mev_per_atom=1163 total_magnetization_mub_per_fu=0.00 pbc="T T T"
Ba 0.000 0.000 0.000
Li 2.702 0.000 0.000
W 0.605 2.859 1.325
W 0.605 -2.859 1.325

---

(5)
8
Lattice="-1.957 1.957 11.095 1.957 -1.957 11.095 1.957 1.957 -11.095" Properties=species:S:1:pos:R:3 comment="BaLiW2 (PBE, relaxed)" e_tot_ev_per_atom=-6.1093 de_polymorph_mev_per_atom=635 space_group=I-42d ef_mev_per_atom=1326 total_magnetization_mub_per_fu=0.00 pbc="T T T"
Ba 0.000 0.000 0.000
Ba 0.000 1.957 5.547
Li 1.957 0.000 5.547
Li 0.000 0.000 11.095
W 0.978 1.083 -2.774
W 2.830 0.978 2.774
W 0.978 0.873 8.321
W -0.873 0.978 13.868

---

(6)
4
Lattice="5.246 0.000 0.000 0.000 5.246 0.000 0.000 0.000 3.003" Properties=species:S:1:pos:R:3 comment="BaLi2W (PBE, relaxed)" e_tot_ev_per_atom=-3.6083 de_polymorph_mev_per_atom=249 space_group=P4/mmm ef_mev_per_atom=1068 total_magnetization_mub_per_fu=0.72 pbc="T T T"
Ba 0.000 0.000 0.000
Li 0.000 2.623 1.502
Li 2.623 0.000 1.502
W 2.623 2.623 0.000

---

(7)
4
Lattice="2.703 -5.517 0.000 2.703 5.517 0.000 0.000 0.000 2.837" Properties=species:S:1:pos:R:3 comment="BaLiW2 (PBE, relaxed)" e_tot_ev_per_atom=-6.1317 de_polymorph_mev_per_atom=612 space_group=Cmmm ef_mev_per_atom=1304 total_magnetization_mub_per_fu=0.00 pbc="T T T"
Ba 0.000 0.000 0.000
Li 2.703 0.000 0.000
W 1.351 2.759 1.418
W 1.351 -2.759 1.418

---

(8)
4
Lattice="3.121 0.000 0.000 0.000 4.597 0.000 0.000 0.000 5.746" Properties=species:S:1:pos:R:3 comment="BaLiW2 (PBE, relaxed)" e_tot_ev_per_atom=-6.2904 de_polymorph_mev_per_atom=453 space_group=Pmmm ef_mev_per_atom=1145 total_magnetization_mub_per_fu=0.00 pbc="T T T"
Ba 0.000 0.000 0.000
Li 1.561 2.298 0.000
W 0.000 2.298 2.873
W 1.561 0.000 2.873

---

(9)
4
Lattice="3.899 0.000 0.000 0.000 3.899 0.000 0.000 0.000 5.479" Properties=species:S:1:pos:R:3 comment="BaLiW2 (PBE, relaxed)" e_tot_ev_per_atom=-6.1833 de_polymorph_mev_per_atom=561 space_group=P4/mmm ef_mev_per_atom=1252 total_magnetization_mub_per_fu=0.00 pbc="T T T"
Ba 0.000 0.000 0.000
Li 1.949 1.949 0.000
W 0.000 1.949 2.740
W 1.949 0.000 2.740

---

(10)
4
Lattice="1.622 0.936 10.224 -1.622 0.936 10.224 0.000 -1.872 10.224" Properties=species:S:1:pos:R:3 comment="BaLiW2 (PBE, relaxed)" e_tot_ev_per_atom=-6.5583 de_polymorph_mev_per_atom=186 space_group=R3m ef_mev_per_atom=877 total_magnetization_mub_per_fu=0.00 pbc="T T T"
Ba 0.000 0.000 0.000
Li 0.000 0.000 23.628
W 0.000 0.000 7.146
W 0.000 0.000 15.670

---

(11)
4
Lattice="3.344 0.000 0.000 0.000 3.382 0.000 -0.095 0.000 8.354" Properties=species:S:1:pos:R:3 comment="BaLiW2 (PBE, relaxed)" e_tot_ev_per_atom=-6.7439 de_polymorph_mev_per_atom=0 space_group=Pm ef_mev_per_atom=692 total_magnetization_mub_per_fu=0.00 pbc="T T T"
Ba 0.000 0.000 0.000
Li 1.650 1.691 5.495
W -0.011 0.000 3.766
W 1.662 1.691 2.686

---

(12)
4
Lattice="-1.515 2.796 5.831 1.515 -2.796 5.831 1.515 2.796 -5.831" Properties=species:S:1:pos:R:3 comment="BaLi2W (PBE, relaxed)" e_tot_ev_per_atom=-3.7134 de_polymorph_mev_per_atom=144 space_group=Immm ef_mev_per_atom=962 total_magnetization_mub_per_fu=0.00 pbc="T T T"
Ba 0.000 0.000 0.000
Li 1.515 0.000 3.406
Li 0.000 2.796 2.425
W 0.000 0.000 5.831

---

(13)
4
Lattice="2.964 0.000 0.000 0.000 4.422 0.000 0.000 0.000 6.622" Properties=species:S:1:pos:R:3 comment="BaLi2W (PBE, relaxed)" e_tot_ev_per_atom=-3.7290 de_polymorph_mev_per_atom=128 space_group=Pmmm ef_mev_per_atom=947 total_magnetization_mub_per_fu=0.00 pbc="T T T"
Ba 0.000 0.000 0.000
Li 1.482 2.211 2.123
Li 1.482 2.211 4.499
W 0.000 0.000 3.311

---

(14)
4
Lattice="1.459 0.842 11.279 -1.459 0.842 11.279 0.000 -1.684 11.279" Properties=species:S:1:pos:R:3 comment="BaLiW2 (PBE, relaxed)" e_tot_ev_per_atom=-6.0628 de_polymorph_mev_per_atom=681 space_group=R-3m ef_mev_per_atom=1373 total_magnetization_mub_per_fu=0.00 pbc="T T T"
Ba 0.000 0.000 0.000
Li 0.000 0.000 16.919
W 0.000 0.000 8.110
W 0.000 0.000 25.728

---

(15)
4
Lattice="0.000 3.373 3.373 3.373 0.000 3.373 3.373 3.373 0.000" Properties=species:S:1:pos:R:3 comment="BaLiW2 (PBE, relaxed)" e_tot_ev_per_atom=-5.4555 de_polymorph_mev_per_atom=1288 space_group=Fm-3m ef_mev_per_atom=1980 total_magnetization_mub_per_fu=0.00 pbc="T T T"
Ba 0.000 0.000 0.000
Li 3.373 3.373 3.373
W 1.687 1.687 1.687
W 5.060 5.060 5.060

---

(16)
4
Lattice="-1.700 2.860 5.214 1.700 -2.860 5.214 1.700 2.860 -5.214" Properties=species:S:1:pos:R:3 comment="BaLiW2 (PBE, relaxed)" e_tot_ev_per_atom=-6.3199 de_polymorph_mev_per_atom=424 space_group=Imm2 ef_mev_per_atom=1116 total_magnetization_mub_per_fu=0.00 pbc="T T T"
Ba 0.000 0.000 0.000
Li 1.700 0.000 3.018
W 0.000 0.000 5.703
W 0.000 2.860 2.191

---

(17)
8
Lattice="-2.380 2.380 10.417 2.380 -2.380 10.417 2.380 2.380 -10.417" Properties=species:S:1:pos:R:3 comment="BaLi2W (PBE, relaxed)" e_tot_ev_per_atom=-3.4300 de_polymorph_mev_per_atom=427 space_group=I-42d ef_mev_per_atom=1246 total_magnetization_mub_per_fu=3.59 pbc="T T T"
Ba 0.000 0.000 0.000
Ba 0.000 2.380 5.209
Li 1.190 1.797 -2.604
Li 2.963 1.190 2.604
Li 1.190 0.583 7.813
Li -0.583 1.190 13.021
W 2.380 0.000 5.209
W 0.000 0.000 10.417

---

(18)
5
Lattice="5.318 0.000 0.000 0.000 5.318 0.000 0.000 0.000 5.318" Properties=species:S:1:pos:R:3 comment="BaLi3W (PBE, relaxed)" e_tot_ev_per_atom=-3.0618 de_polymorph_mev_per_atom=0 space_group=Pm-3m ef_mev_per_atom=1062 total_magnetization_mub_per_fu=4.43 pbc="T T T"
Ba 0.000 0.000 0.000
Li 0.000 2.659 2.659
Li 2.659 0.000 2.659
Li 2.659 2.659 0.000
W 2.659 2.659 2.659

---

(19)
4
Lattice="2.877 0.000 0.000 0.000 2.877 0.000 0.000 0.000 9.461" Properties=species:S:1:pos:R:3 comment="BaLiW2 (PBE, relaxed)" e_tot_ev_per_atom=-6.0977 de_polymorph_mev_per_atom=646 space_group=P4/mmm ef_mev_per_atom=1338 total_magnetization_mub_per_fu=0.00 pbc="T T T"
Ba 0.000 0.000 0.000
Li 0.000 0.000 4.731
W 1.439 1.439 2.978
W 1.439 1.439 6.483

---

(20)
4
Lattice="3.444 0.000 0.000 0.000 5.260 0.000 -1.119 0.000 4.928" Properties=species:S:1:pos:R:3 comment="BaLiW2 (PBE, relaxed)" e_tot_ev_per_atom=-6.3378 de_polymorph_mev_per_atom=406 space_group=P2/m ef_mev_per_atom=1098 total_magnetization_mub_per_fu=0.00 pbc="T T T"
Ba 0.000 0.000 0.000
Li 1.163 0.000 2.464
W 0.329 2.630 3.357
W 1.996 2.630 1.571

---

(21)
5
Lattice="4.779 0.000 0.000 0.000 4.779 0.000 0.000 0.000 4.779" Properties=species:S:1:pos:R:3 comment="BaLi3W (PBE, relaxed)" e_tot_ev_per_atom=-2.1817 de_polymorph_mev_per_atom=880 space_group=Pm-3m ef_mev_per_atom=1942 total_magnetization_mub_per_fu=1.02 pbc="T T T"
Ba 0.000 0.000 0.000
Li 0.000 0.000 2.389
Li 0.000 2.389 0.000
Li 2.389 0.000 0.000
W 2.389 2.389 2.389

---

(22)
4
Lattice="2.892 0.000 0.000 0.000 5.083 0.000 -0.569 0.000 6.149" Properties=species:S:1:pos:R:3 comment="BaLi2W (PBE, relaxed)" e_tot_ev_per_atom=-3.7707 de_polymorph_mev_per_atom=86 space_group=P2/m ef_mev_per_atom=905 total_magnetization_mub_per_fu=0.00 pbc="T T T"
Ba 0.000 0.000 0.000
Li 0.227 2.541 4.159
Li 2.095 2.541 1.990
W 1.161 0.000 3.075

---

(23)
4
Lattice="1.746 -2.354 0.000 1.746 2.354 0.000 0.000 0.000 10.725" Properties=species:S:1:pos:R:3 comment="BaLi2W (PBE, relaxed)" e_tot_ev_per_atom=-3.7322 de_polymorph_mev_per_atom=125 space_group=Cmmm ef_mev_per_atom=944 total_magnetization_mub_per_fu=0.00 pbc="T T T"
Ba 0.000 0.000 0.000
Li 1.746 0.000 3.162
Li 1.746 0.000 7.562
W 0.000 0.000 5.362

---

(24)
4
Lattice="3.177 -4.925 0.000 3.177 4.925 0.000 -0.898 0.000 2.756" Properties=species:S:1:pos:R:3 comment="BaLi2W (PBE, relaxed)" e_tot_ev_per_atom=-3.7043 de_polymorph_mev_per_atom=153 space_group=C2/m ef_mev_per_atom=972 total_magnetization_mub_per_fu=0.00 pbc="T T T"
Ba 0.000 0.000 0.000
Li 1.140 2.462 1.378
Li 1.140 -2.462 1.378
W 3.177 0.000 0.000